Record 1
Density functional theory data (PBE) for a relaxed structure of Ac5Hg2Pd2.

```
data_Ac5Hg2Pd2
_cell_length_a 16.713
_cell_length_b 7.915
_cell_length_c 9.061
_cell_angle_alpha 90.00
_cell_angle_beta 90.00
_cell_angle_gamma 90.00
_space_group_name_H-M_alt 'C m c e'
_space_group_IT_number 64
_space_group_name_Hall '-C 2ac 2'
loop_
_atom_site_label
_atom_site_type_symbol
_atom_site_fract_x
_atom_site_fract_y
_atom_site_fract_z
Ac1 Ac 0.000 0.000 0.000
Ac2 Ac 0.127 0.160 0.324
Hg1 Hg 0.210 0.000 0.000
Pd1 Pd 0.000 0.132 0.619
```

As for the final energy: -145.20 eV/cell.


Record 2
Density functional theory data (PBE) for a relaxed structure of Na2ThZrSe4.

```
data_Na2ThZrSe4
_cell_length_a 6.913
_cell_length_b 4.015
_cell_length_c 7.617
_cell_angle_alpha 90.00
_cell_angle_beta 107.71
_cell_angle_gamma 90.00
_space_group_name_H-M_alt 'P 1 2/m 1'
_space_group_IT_number 10
_space_group_name_Hall '-P 2y'
loop_
_atom_site_label
_atom_site_type_symbol
_atom_site_fract_x
_atom_site_fract_y
_atom_site_fract_z
Na1 Na 0.000 0.000 0.000
Na2 Na 0.500 0.500 0.000
Th1 Th 0.000 0.500 0.500
Zr1 Zr 0.500 0.000 0.500
Se1 Se 0.262 0.000 0.741
Se2 Se 0.271 0.500 0.270
```

As for the final energy: -43.64 eV/cell.


Record 3
Density functional theory data (PBE) for a relaxed structure of SrZnCd.

```
data_SrZnCd
_cell_length_a 7.140
_cell_length_b 7.140
_cell_length_c 7.140
_cell_angle_alpha 90.00
_cell_angle_beta 90.00
_cell_angle_gamma 90.00
_space_group_name_H-M_alt 'F -4 3 m'
_space_group_IT_number 216
_space_group_name_Hall 'F -4 2 3'
loop_
_atom_site_label
_atom_site_type_symbol
_atom_site_fract_x
_atom_site_fract_y
_atom_site_fract_z
Sr1 Sr 0.000 0.000 0.000
Zn1 Zn 0.250 0.250 0.750
Cd1 Cd 0.000 0.000 0.500
```

As for the final energy: -16.92 eV/cell.


| no. | DOS at the Fermi energy (states/eV/f.u.) |
| --- | --- |
| 1 | 7.9 |
| 2 | 4.4 |
| 3 | 1.9 |